Entry from the Alexandria database: a relaxed Tb2Sm2Dy5 crystal (PBE).

## Properties
Space-group type: P1, No. 1
Fermi-level density of states (states/eV per cell): 27.5
Total DFT energy (no corrections) (eV/atom): -4.601
ΔE to the lowest computed polymorph (meV/atom): 0
ΔH_f (0 K) (eV per atom): 0.03

a b c (Å): 7.124 9.411 10.260
angles (deg): 70.90 69.71 67.76
Atoms (fractional coordinates):
Tb1 0.000 0.000 0.000
Tb2 0.069 0.039 0.319
Tb3 0.468 0.713 0.848
Tb4 0.614 0.352 0.419
Sm1 0.112 0.353 0.419
Sm2 0.499 0.998 0.001
Sm3 0.571 0.040 0.318
Sm4 0.969 0.714 0.848
Dy1 0.164 0.027 0.645
Dy2 0.206 0.339 0.746
Dy3 0.278 0.379 0.063
Dy4 0.310 0.663 0.213
Dy5 0.390 0.688 0.530
Dy6 0.663 0.027 0.646
Dy7 0.706 0.339 0.747
Dy8 0.778 0.381 0.062
Dy9 0.811 0.665 0.213
Dy10 0.889 0.689 0.532

Entry from the Alexandria database: a relaxed ZnGaPS crystal (PBE).

## Properties
Space-group type: R3m, No. 160
Fermi-level density of states (states/eV per cell): 0.0
Total DFT energy (no corrections) (eV/atom): -4.046
Uncorrected formation energy (eV/atom): -0.586

a b c (Å): 3.872 3.872 19.012
angles (deg): 90.00 90.00 120.00
Atoms (fractional coordinates):
Zn1 0.000 0.000 0.000
Zn2 0.333 0.667 0.667
Zn3 0.667 0.333 0.333
Ga1 0.000 0.000 0.503
Ga2 0.333 0.667 0.169
Ga3 0.667 0.333 0.836
P1 0.000 0.000 0.876
P2 0.333 0.667 0.542
P3 0.667 0.333 0.209
S1 0.000 0.000 0.378
S2 0.333 0.667 0.045
S3 0.667 0.333 0.711

Entry from the Alexandria database: a relaxed GdBi2Pb crystal (PBE).

## Properties
Space-group type: R-3m, No. 166
Fermi-level density of states (states/eV per cell): 11.3
Total DFT energy (no corrections) (eV/atom): -6.298
ΔE to the lowest computed polymorph (meV/atom): 487
ΔH_f (0 K) (eV per atom): 0.09

a b c (Å): 3.488 3.488 37.638
angles (deg): 90.00 90.00 120.00
Atoms (fractional coordinates):
Gd1 0.000 0.000 0.000
Gd2 0.333 0.667 0.667
Gd3 0.667 0.333 0.333
Bi1 0.000 0.000 0.085
Bi2 0.000 0.000 0.915
Bi3 0.333 0.667 0.581
Bi4 0.333 0.667 0.752
Bi5 0.667 0.333 0.248
Bi6 0.667 0.333 0.419
Pb1 0.000 0.000 0.500
Pb2 0.333 0.667 0.167
Pb3 0.667 0.333 0.833